Here is a relaxed structure of KRbTeSe from the Alexandria database. Energies are from PBE-GGA.

Cell and atoms, written as POSCAR:
```
KRbTeSe
1.0
-0.5453 3.2434 4.4551
-1.4563 -5.3361 0.2649
5.8592 -1.5089 1.8156
K Rb Te Se
1 1 1 1
direct
0.3333 0.6667 0.7875 K
0.6667 0.3333 0.2480 Rb
0.0000 0.0000 0.5588 Te
0.0000 0.0000 0.9770 Se
```

Values from the calculation:
Energy: -3.065 eV per atom
Total magnetic moment: 0.00 μB/cell
Raw formation energy: -892 meV/atom